# Cd2IrPb, relaxed, DFT GGA-PBE
# VASP energy	-3.3277	eV per atom
# energy of formation	0.272	eV/atom
data_Cd2IrPb
_chemical_formula_sum 'Cd6 Ir3 Pb3'
_symmetry_space_group_name_H-M 'R -3 m'
_symmetry_Int_Tables_number 166
_symmetry_space_group_name_Hall '-R 3 2"'
_cell_length_a 3.1612
_cell_length_b 3.1612
_cell_length_c 30.3606
_cell_angle_alpha 90.00
_cell_angle_beta 90.00
_cell_angle_gamma 120.00
loop_
_atom_site_label
_atom_site_type_symbol
_atom_site_fract_x
_atom_site_fract_y
_atom_site_fract_z
Cd1 Cd 0.0000 0.0000 0.2371
Ir1 Ir 0.0000 0.0000 0.5000
Pb1 Pb 0.0000 0.0000 0.0000